# 1
# Ta2NiRh (GGA-PBEsol, relaxed)
# DFT formation energy (eV per atom): -0.32
# Uncorrected energy (eV/atom): -10.170
# Total moment (μB/cell): 0.0
data_Ta2NiRh
_symmetry_space_group_name_H-M 'I 4/m m m'
_symmetry_Int_Tables_number 139
_symmetry_space_group_name_Hall '-I 4 2'
_cell_length_a 3.913
_cell_length_b 3.913
_cell_length_c 7.649
_cell_angle_alpha 90.00
_cell_angle_beta 90.00
_cell_angle_gamma 90.00
loop_
_atom_site_label
_atom_site_type_symbol
_atom_site_fract_x
_atom_site_fract_y
_atom_site_fract_z
Ta1 Ta 0.000 0.500 0.250
Ni1 Ni 0.000 0.000 0.000
Rh1 Rh 0.000 0.000 0.500

***

# 2
# CeCuSi (GGA-PBEsol, relaxed)
# Uncorrected energy (eV/atom): -6.091
# Total moment (μB/cell): 0.7
# E_form (uncorrected) (eV/atom): -0.532
data_CeCuSi
_symmetry_space_group_name_H-M 'P -6 m 2'
_symmetry_Int_Tables_number 187
_symmetry_space_group_name_Hall 'P -6 2'
_cell_length_a 4.0607
_cell_length_b 4.0607
_cell_length_c 3.9665
_cell_angle_alpha 90.00
_cell_angle_beta 90.00
_cell_angle_gamma 120.00
loop_
_atom_site_label
_atom_site_type_symbol
_atom_site_fract_x
_atom_site_fract_y
_atom_site_fract_z
Ce1 Ce 0.0000 0.0000 0.0000
Cu1 Cu 0.6667 0.3333 0.5000
Si1 Si 0.3333 0.6667 0.5000

***

# 3
# Y2Ni2Rh (GGA-PBEsol, relaxed)
# DFT formation energy (eV per atom): -0.19
# Uncorrected energy (eV/atom): -7.010
# Total moment (μB/cell): 0.0
data_Y2Ni2Rh
_symmetry_space_group_name_H-M 'I 4/m m m'
_symmetry_Int_Tables_number 139
_symmetry_space_group_name_Hall '-I 4 2'
_cell_length_a 5.096
_cell_length_b 5.096
_cell_length_c 7.192
_cell_angle_alpha 90.00
_cell_angle_beta 90.00
_cell_angle_gamma 90.00
loop_
_atom_site_label
_atom_site_type_symbol
_atom_site_fract_x
_atom_site_fract_y
_atom_site_fract_z
Y1 Y 0.000 0.500 0.250
Ni1 Ni 0.000 0.000 0.154
Rh1 Rh 0.000 0.000 0.500

***

# 4
# Li5SbP4O14 (GGA-PBEsol, relaxed)
# Uncorrected energy (eV/atom): -6.835
# Total moment (μB/cell): 0.0
# E_form (uncorrected) (eV/atom): -2.208
data_Li5SbP4O14
_symmetry_space_group_name_H-M 'P -1'
_symmetry_Int_Tables_number 2
_cell_length_a 7.171
_cell_length_b 8.419
_cell_length_c 9.764
_cell_angle_alpha 76.75
_cell_angle_beta 75.71
_cell_angle_gamma 68.99
loop_
_symmetry_equiv_pos_as_xyz
'x,y,z'
'-x,-y,-z'
loop_
_atom_site_label
_atom_site_type_symbol
_atom_site_fract_x
_atom_site_fract_y
_atom_site_fract_z
Li1 Li 0.037 0.456 0.134
Li2 Li 0.252 0.734 0.897
Li3 Li 0.334 0.191 0.287
Li4 Li 0.347 0.234 0.625
Li5 Li 0.435 0.482 0.357
Sb1 Sb 0.120 0.854 0.243
P1 P 0.124 0.633 0.575
P2 P 0.163 0.142 0.962
P3 P 0.311 0.902 0.547
P4 P 0.419 0.338 0.948
O1 O 0.038 0.256 0.841
O2 O 0.067 0.209 0.103
O3 O 0.075 0.375 0.334
O4 O 0.133 0.815 0.599
O5 O 0.140 0.651 0.410
O6 O 0.205 0.952 0.969
O7 O 0.218 0.062 0.622
O8 O 0.232 0.495 0.928
O9 O 0.313 0.486 0.611
O10 O 0.351 0.939 0.384
O11 O 0.379 0.177 0.906
O12 O 0.392 0.649 0.169
O13 O 0.458 0.297 0.099
O14 O 0.498 0.769 0.601